{
  "formula": "LaTb6Th",
  "functional": "PBE-GGA",
  "state": "relaxed",
  "de_polymorph_mev_per_atom": 0,
  "e_form_kj_per_mol_atoms": 2.64,
  "e_tot_ev_per_atom": -4.99,
  "n_ef_per_ev_cell": 10.7,
  "lattice_angstrom": [[5.067, 0.000, 0.000], [0.000, 5.067, 0.000], [0.000, 0.000, 10.147]],
  "species": ["Th", "Tb", "Tb", "Tb", "Tb", "Tb", "Tb", "La"],
  "frac_coords": [[0.000, 0.000, 0.500], [0.500, 0.000, 0.744], [0.000, 0.500, 0.744], [0.500, 0.500, 0.000], [0.000, 0.500, 0.256], [0.500, 0.000, 0.256], [0.500, 0.500, 0.500], [0.000, 0.000, 0.000]]
}